Material: NdYZn2In2
Method: DFT, PBE
State: relaxed

Output
Density ... 6.91 g cm⁻³
Total magnetic moment ... 0.0 μB per cell
E ... -3.692 eV/atom

abc: 4.6932 4.6932 7.4732
angles: 90.00 90.00 120.00
Space group P3m1 (No. 156)
Asymmetric unit:
Nd: 0.0000 0.0000 0.0000 (multiplicity 1)
Y: 0.0000 0.0000 0.5007 (multiplicity 1)
Zn: 0.3333 0.6667 0.2046 (multiplicity 1)
Zn: 0.6667 0.3333 0.6916 (multiplicity 1)
In: 0.3333 0.6667 0.7680 (multiplicity 1)
In: 0.6667 0.3333 0.2814 (multiplicity 1)